Record 1
4
Lattice="3.0103 0.0000 0.0000 0.0000 3.0103 0.0000 0.0000 0.0000 8.4022" Properties=species:S:1:pos:R:3 comment="HgAs2Os, relaxed, DFT PBE" density_g_cm3=11.79 spacegroup=P4mm dft_energy_ev_per_atom=-4.7868 pbc="T T T"
Hg 0.0000 0.0000 0.0000
As 0.0000 0.0000 3.4501
As 1.5051 1.5051 6.0391
Os 1.5051 1.5051 2.1102

***

Record 2
4
Lattice="2.9657 0.0000 0.0000 0.0000 2.9977 0.0000 -0.9752 0.0000 9.6518" Properties=species:S:1:pos:R:3 comment="HgAs2Os, relaxed, DFT PBE" density_g_cm3=10.46 spacegroup=P2/m dft_energy_ev_per_atom=-5.0983 pbc="T T T"
Hg 0.0000 0.0000 0.0000
As -0.4914 1.4989 6.4320
As 2.4819 1.4989 3.2198
Os 0.9953 0.0000 4.8259

***

Record 3
6
Lattice="0.0000 3.7160 3.7160 3.7160 0.0000 3.7160 3.7160 3.7160 0.0000" Properties=species:S:1:pos:R:3 comment="HgAsOs4, relaxed, DFT PBE" density_g_cm3=16.77 spacegroup=F-43m dft_energy_ev_per_atom=-7.2812 pbc="T T T"
Hg 0.0000 0.0000 0.0000
As 1.8580 1.8580 1.8580
Os 4.6422 2.7898 2.7898
Os 2.7898 4.6422 2.7898
Os 2.7898 2.7898 4.6422
Os 4.6422 4.6422 4.6422

***

Record 4
12
Lattice="3.1096 0.0000 0.0000 -1.5548 2.6930 0.0000 0.0000 0.0000 30.5798" Properties=species:S:1:pos:R:3 comment="Hg2AsOs, relaxed, DFT PBE" density_g_cm3=12.96 spacegroup=R3m dft_energy_ev_per_atom=-3.8682 pbc="T T T"
Hg 0.0000 0.0000 0.0000
Hg 0.0000 0.0000 7.1273
Hg 0.0000 1.7953 20.3866
Hg 0.0000 1.7953 27.5139
Hg 1.5548 0.8977 10.1933
Hg 1.5548 0.8977 17.3206
As 0.0000 0.0000 14.2053
As 0.0000 1.7953 4.0120
As 1.5548 0.8977 24.3985
Os 0.0000 0.0000 22.7498
Os 0.0000 1.7953 12.5566
Os 1.5548 0.8977 2.3633

***

Record 5
12
Lattice="2.9947 0.0000 0.0000 -1.4974 2.5935 0.0000 0.0000 0.0000 29.5805" Properties=species:S:1:pos:R:3 comment="Hg2AsOs, relaxed, DFT PBE" density_g_cm3=14.45 spacegroup=R-3m dft_energy_ev_per_atom=-3.3257 pbc="T T T"
Hg 0.0000 0.0000 7.2663
Hg 0.0000 0.0000 22.3142
Hg 0.0000 1.7290 12.4540
Hg 0.0000 1.7290 26.9867
Hg 1.4974 0.8645 2.5939
Hg 1.4974 0.8645 17.1265
As 0.0000 0.0000 0.0000
As 0.0000 1.7290 19.7203
As 1.4974 0.8645 9.8602
Os 0.0000 0.0000 14.7903
Os 0.0000 1.7290 4.9301
Os 1.4974 0.8645 24.6504

***

Record 6
4
Lattice="3.1148 0.0000 0.0000 0.0000 4.8760 0.0000 0.0000 0.0000 4.9853" Properties=species:S:1:pos:R:3 comment="Hg2AsOs, relaxed, DFT PBE" density_g_cm3=14.61 spacegroup=Pmmm dft_energy_ev_per_atom=-3.2571 pbc="T T T"
Hg 0.0000 0.0000 0.0000
Hg 1.5574 2.4380 0.0000
As 0.0000 2.4380 2.4927
Os 1.5574 0.0000 2.4927

***

Record 7
5
Lattice="5.2511 0.0000 0.0000 0.0000 5.2511 0.0000 0.0000 0.0000 5.2511" Properties=species:S:1:pos:R:3 comment="Hg3AsOs, relaxed, DFT PBE" density_g_cm3=9.94 spacegroup=Pm-3m dft_energy_ev_per_atom=-2.2326 pbc="T T T"
Hg 0.0000 0.0000 2.6256
Hg 0.0000 2.6256 0.0000
Hg 2.6256 0.0000 0.0000
As 2.6256 2.6256 2.6256
Os 0.0000 0.0000 0.0000

***

Record 8
8
Lattice="13.3136 0.0000 0.0000 0.0000 3.0036 0.0000 -1.7131 0.0000 4.4651" Properties=species:S:1:pos:R:3 comment="Hg2AsOs, relaxed, DFT PBE" density_g_cm3=12.39 spacegroup=Cm dft_energy_ev_per_atom=-3.7158 pbc="T T T"
Hg 0.0000 0.0000 0.0000
Hg 1.2239 0.0000 3.0314
Hg 6.6568 1.5018 0.0000
Hg 7.8807 1.5018 3.0314
As 3.7701 1.5018 1.4503
As 10.4269 0.0000 1.4503
Os 5.5259 0.0000 2.1276
Os 12.1827 1.5018 2.1276